Compound: K2TlReO4
Source: Alexandria via LeMat-Bulk
Functional: PBE-GGA
Structure: relaxed

```
K2TlReO4
1.0
-2.0702 5.6496 2.2332
-6.0138 -1.5829 -1.5874
3.5369 -3.5873 3.1402
O K Tl Re
4 2 1 1
Direct
0.6371 0.6371 0.8810
0.7553 0.3627 0.1180
0.3627 0.7553 0.1180
0.2439 0.2439 0.8810
0.2502 0.7502 0.5005
0.7502 0.2502 0.5005
0.0010 0.0010 0.0021
0.4997 0.4997 0.9994
```

Computed properties:
- DFT total energy: -48.40 eV for the cell shown



Compound: KTl3Re2O8
Source: Alexandria via LeMat-Bulk
Functional: PBE-GGA
Structure: relaxed

```
KTl3Re2O8
1.0
6.4380 0.0000 0.0000
-3.2190 5.5755 0.0000
0.0000 0.0000 8.1275
O Tl K Re
8 3 1 2
Direct
0.6667 0.3333 0.0271
0.1822 0.3644 0.2723
0.6356 0.8178 0.2723
0.3333 0.6667 0.9729
0.8178 0.6356 0.7277
0.1822 0.8178 0.2723
0.8178 0.1822 0.7277
0.3644 0.1822 0.7277
0.0000 0.0000 0.0000
0.3333 0.6667 0.6708
0.6667 0.3333 0.3292
0.0000 0.0000 0.5000
0.6667 0.3333 0.8057
0.3333 0.6667 0.1943
```

Computed properties:
- DFT total energy: -91.41 eV for the cell shown
- Fermi-level density of states: 0.612 states/eV per atom



Compound: K3TlRe2O8
Source: Alexandria via LeMat-Bulk
Functional: PBE-GGA
Structure: relaxed

```
K3TlRe2O8
1.0
6.2642 0.0000 0.0000
-3.1321 5.4250 0.0000
0.0000 0.0000 8.5449
O Re K Tl
8 2 3 1
Direct
0.3333 0.6667 0.9778
0.1785 0.3570 0.2642
0.6430 0.8215 0.2642
0.8215 0.1785 0.7358
0.8215 0.6430 0.7358
0.1785 0.8215 0.2642
0.3570 0.1785 0.7358
0.6667 0.3333 0.0222
0.6667 0.3333 0.8136
0.3333 0.6667 0.1864
0.3333 0.6667 0.6798
0.0000 0.0000 0.0000
0.6667 0.3333 0.3202
0.0000 0.0000 0.5000
```

Computed properties:
- DFT total energy: -92.27 eV for the cell shown
- Fermi-level density of states: 0.589 states/eV per atom



Compound: K3TmRe2O9
Source: Alexandria via LeMat-Bulk
Functional: PBE-GGA
Structure: relaxed

```
K3TmRe2O9
1.0
-3.1225 4.5663 1.5106
-2.5485 -5.0700 -0.8261
0.9657 -1.5974 6.8246
Re O K Tm
2 9 3 1
Direct
0.3333 0.6667 0.1608
0.6667 0.3333 0.8392
0.8226 0.1774 0.6876
0.1774 0.8226 0.3124
0.8226 0.6452 0.6876
0.6452 0.8226 0.3124
0.0000 0.5000 0.0000
0.1774 0.3548 0.3124
0.5000 0.5000 0.0000
0.5000 0.0000 0.0000
0.3548 0.1774 0.6876
0.0000 0.0000 0.0000
0.6667 0.3333 0.3331
0.3333 0.6667 0.6669
0.0000 0.0000 0.5000
```

Computed properties:
- DFT total energy: -108.28 eV for the cell shown
- Fermi-level density of states: 0.371 states/eV per atom



Compound: KTm2ReO8
Source: Alexandria via LeMat-Bulk
Functional: PBE-GGA
Structure: relaxed

```
KTm2ReO8
1.0
-2.1548 -4.1945 -1.3194
-0.2688 -1.2300 4.7285
-6.7478 3.2950 0.4885
Re K O Tm
1 1 8 2
Direct
0.0000 0.0000 0.0000
0.0000 0.0000 0.5000
0.1877 0.8142 0.8204
0.3900 0.3878 0.5001
0.6100 0.6122 0.4999
0.8153 0.1888 0.8205
0.8123 0.1858 0.1796
0.7150 0.7161 0.9988
0.1847 0.8112 0.1795
0.2850 0.2839 0.0012
0.4991 0.4990 0.7830
0.5009 0.5010 0.2170
```

Computed properties:
- DFT total energy: -89.29 eV for the cell shown
- Fermi-level density of states: 0.000 states/eV per atom



Compound: K2UReO8
Source: Alexandria via LeMat-Bulk
Functional: PBE-GGA
Structure: relaxed

```
K2UReO8
1.0
5.6902 -0.1020 -0.0040
-0.0613 5.6985 -0.0053
0.0009 0.0100 6.5980
K O U Re
2 8 1 1
Direct
0.5001 0.4999 0.7587
0.4999 0.5001 0.2413
0.1561 0.8422 0.7791
0.8439 0.1578 0.2209
0.7648 0.7677 0.5000
0.2352 0.2323 0.5000
0.8439 0.1578 0.7788
0.1561 0.8422 0.2212
0.2319 0.2289 0.0000
0.7681 0.7711 0.0000
0.0000 0.0000 0.5000
0.0000 0.0000 0.0000
```

Computed properties:
- DFT total energy: -89.67 eV for the cell shown
- Fermi-level density of states: 0.357 states/eV per atom



Compound: K2U3ReO12
Source: Alexandria via LeMat-Bulk
Functional: PBE-GGA
Structure: relaxed

```
K2U3ReO12
1.0
7.6480 -0.1054 -0.0748
3.6853 6.7023 -0.0748
3.6853 2.1451 6.3502
O K Re U
12 2 1 3
Direct
0.0654 0.6767 0.6767
0.0581 0.0581 0.7034
0.9346 0.3233 0.3233
0.2966 0.9419 0.9419
0.3233 0.3233 0.9346
0.0581 0.7034 0.0581
0.9419 0.2966 0.9419
0.3233 0.9346 0.3233
0.7034 0.0581 0.0581
0.9419 0.9419 0.2966
0.6767 0.0654 0.6767
0.6767 0.6767 0.0654
0.3801 0.3801 0.3801
0.6199 0.6199 0.6199
0.0000 0.0000 0.0000
0.0000 0.5000 0.0000
0.5000 0.0000 0.0000
0.0000 0.0000 0.5000
```

Computed properties:
- DFT total energy: -155.32 eV for the cell shown
- Fermi-level density of states: 0.432 states/eV per atom



Compound: K2URe3O12
Source: Alexandria via LeMat-Bulk
Functional: PBE-GGA
Structure: relaxed

```
K2URe3O12
1.0
7.5362 0.1478 0.1048
3.8503 6.4801 0.1048
3.8503 2.2412 6.0811
O K Re U
12 2 3 1
Direct
0.3011 0.9333 0.3011
0.9240 0.9240 0.3390
0.9333 0.3011 0.3011
0.3390 0.9240 0.9240
0.9240 0.3390 0.9240
0.6989 0.6989 0.0667
0.0667 0.6989 0.6989
0.3011 0.3011 0.9333
0.0760 0.6610 0.0760
0.6610 0.0760 0.0760
0.6989 0.0667 0.6989
0.0760 0.0760 0.6610
0.6443 0.6443 0.6443
0.3557 0.3557 0.3557
0.0000 0.0000 0.5000
0.0000 0.5000 0.0000
0.5000 0.0000 0.0000
0.0000 0.0000 0.0000
```

Computed properties:
- DFT total energy: -145.86 eV for the cell shown
- Fermi-level density of states: 0.388 states/eV per atom



Compound: K2UReO6
Source: Alexandria via LeMat-Bulk
Functional: PBE-GGA
Structure: relaxed

```
K2UReO6
1.0
4.1227 0.0000 0.0000
0.0000 5.8666 0.0000
0.0000 0.0000 5.8666
K O Re U
2 6 1 1
Direct
0.1446 0.5000 0.0000
0.1446 0.0000 0.5000
0.1448 0.0000 0.0000
0.1447 0.5000 0.5000
0.6447 0.7590 0.2410
0.6447 0.7590 0.7590
0.6447 0.2410 0.2410
0.6447 0.2410 0.7590
0.6447 0.0000 0.0000
0.6447 0.5000 0.5000
```

Computed properties:
- DFT total energy: -77.90 eV for the cell shown
- Fermi-level density of states: 0.714 states/eV per atom



Question: The highest DFT total energy belongs to which entry?
Answer: K2TlReO4



Question: DFT total energy of number 4 (K3TmRe2O9)?
Answer: -108.28 eV for the cell shown



Question: Among the records above, which one has the highest DFT total energy?
Answer: K2TlReO4